(1)
{
  "formula": "MgGeTe2N",
  "functional": "PBE",
  "state": "relaxed",
  "cell": [[5.732, 0.000, 0.000], [0.000, 5.732, 0.000], [0.000, 0.000, 3.550]],
  "species": ["Mg", "Ge", "Te", "Te", "N"],
  "frac_coords": [[0.000, 0.000, 0.000], [0.500, 0.500, 0.500], [0.000, 0.500, 0.500], [0.500, 0.000, 0.500], [0.500, 0.500, 0.000]],
  "relative_energy_kj_per_mol_atoms": 0.00,
  "raw_formation_energy_ev_per_atom": 0.392,
  "sg": "P4/mmm"
}

(2)
{
  "formula": "TaMo2Se",
  "functional": "PBE",
  "state": "relaxed",
  "cell": [[1.583, 0.914, 8.129], [-1.583, 0.914, 8.129], [0.000, -1.827, 8.129]],
  "species": ["Ta", "Mo", "Mo", "Se"],
  "frac_coords": [[0.000, 0.000, 0.000], [0.495, 0.495, 0.495], [0.754, 0.754, 0.754], [0.255, 0.255, 0.255]],
  "raw_formation_energy_ev_per_atom": 0.165,
  "sg": "R3m"
}

(3)
{
  "formula": "Pr3Re2N7",
  "functional": "PBE",
  "state": "relaxed",
  "cell": [[1.995, -10.466, 0.000], [1.995, 10.466, 0.000], [0.000, 0.000, 3.869]],
  "species": ["Pr", "Pr", "Pr", "Re", "Re", "N", "N", "N", "N", "N", "N", "N"],
  "frac_coords": [[0.000, 0.000, 0.000], [0.180, 0.820, 0.000], [0.820, 0.180, 0.000], [0.403, 0.597, 0.500], [0.597, 0.403, 0.500], [0.094, 0.906, 0.500], [0.306, 0.694, 0.500], [0.402, 0.598, 0.000], [0.500, 0.500, 0.500], [0.598, 0.402, 0.000], [0.694, 0.306, 0.500], [0.906, 0.094, 0.500]],
  "raw_formation_energy_ev_per_atom": -0.598,
  "sg": "Cmmm"
}

(4)
{
  "formula": "La2ScZnAu6",
  "functional": "PBE",
  "state": "relaxed",
  "cell": [[0.000, 5.040, 5.040], [5.040, 0.000, 5.040], [5.040, 5.040, 0.000]],
  "species": ["La", "La", "Sc", "Zn", "Au", "Au", "Au", "Au", "Au", "Au"],
  "frac_coords": [[0.250, 0.250, 0.250], [0.750, 0.750, 0.750], [0.000, 0.000, 0.000], [0.500, 0.500, 0.500], [0.257, 0.257, 0.743], [0.257, 0.743, 0.257], [0.257, 0.743, 0.743], [0.743, 0.257, 0.257], [0.743, 0.257, 0.743], [0.743, 0.743, 0.257]],
  "sg": "Fm-3m",
  "delta_e_f_mev_per_atom": -323
}

(5)
{
  "formula": "AlV2B",
  "functional": "PBE",
  "state": "relaxed",
  "cell": [[1.478, 0.854, 6.741], [-1.478, 0.854, 6.741], [0.000, -1.707, 6.741]],
  "species": ["Al", "V", "V", "B"],
  "frac_coords": [[0.000, 0.000, 0.000], [0.225, 0.225, 0.225], [0.775, 0.775, 0.775], [0.500, 0.500, 0.500]],
  "relative_energy_kj_per_mol_atoms": 16.44,
  "sg": "R-3m",
  "delta_e_f_mev_per_atom": -268
}

(6)
{
  "formula": "CrCo2GeH",
  "functional": "PBE",
  "state": "relaxed",
  "cell": [[3.684, 0.000, 0.000], [0.000, 3.684, 0.000], [0.000, 0.000, 3.645]],
  "species": ["Cr", "Co", "Co", "Ge", "H"],
  "frac_coords": [[0.000, 0.000, 0.000], [0.000, 0.500, 0.500], [0.500, 0.000, 0.500], [0.500, 0.500, 0.000], [0.000, 0.000, 0.500]],
  "sg": "P4/mmm",
  "total_energy_ev_per_atom": -6.450
}

(7)
{
  "formula": "Be2PPd2",
  "functional": "PBE",
  "state": "relaxed",
  "cell": [[6.644, 0.000, 0.000], [0.000, 6.644, 0.000], [0.000, 0.000, 2.831]],
  "species": ["Be", "Be", "Be", "Be", "P", "P", "Pd", "Pd", "Pd", "Pd"],
  "frac_coords": [[0.134, 0.366, 0.000], [0.366, 0.866, 0.000], [0.634, 0.134, 0.000], [0.866, 0.634, 0.000], [0.000, 0.000, 0.500], [0.500, 0.500, 0.500], [0.159, 0.659, 0.500], [0.341, 0.159, 0.500], [0.659, 0.841, 0.500], [0.841, 0.341, 0.500]],
  "relative_energy_kj_per_mol_atoms": 4.96,
  "sg": "P4/mbm",
  "delta_e_f_mev_per_atom": -215
}

(8)
{
  "formula": "Li3Ca2Ni2",
  "functional": "PBE",
  "state": "relaxed",
  "cell": [[1.965, -9.925, 0.000], [1.965, 9.925, 0.000], [0.000, 0.000, 4.036]],
  "species": ["Li", "Li", "Li", "Ca", "Ca", "Ni", "Ni"],
  "frac_coords": [[0.000, 0.000, 0.000], [0.423, 0.577, 0.500], [0.577, 0.423, 0.500], [0.173, 0.827, 0.000], [0.827, 0.173, 0.000], [0.280, 0.720, 0.500], [0.720, 0.280, 0.500]],
  "sg": "Cmmm",
  "delta_e_f_mev_per_atom": -39
}